Compound: CoNi2Sn5
Source: the Alexandria database
Functional: PBE
Structure: optimized geometry

a b c (Å): 6.5979 6.5979 12.9291
angles (deg): 90.00 90.00 137.03
Closest atoms and distances in Å follow each position.
Sites, in units of the cell vectors:
1 Co 0.2041 0.7959 0.7500  6 Sn 2.47-2.65
2 Co 0.7959 0.2041 0.2500  6 Sn 2.47-2.65
3 Ni 0.1366 0.8634 0.0617  6 Sn 2.46-2.74
4 Ni 0.1366 0.8634 0.4383  6 Sn 2.46-2.74
5 Ni 0.8634 0.1366 0.5617  6 Sn 2.46-2.74
6 Ni 0.8634 0.1366 0.9383  6 Sn 2.46-2.74
7 Sn 0.0535 0.9465 0.6230  2 Ni 2.46-2.60, 1 Co 2.47
8 Sn 0.0535 0.9465 0.8770  2 Ni 2.46-2.60, 1 Co 2.47
9 Sn 0.2371 0.7629 0.2500  2 Co 2.52, 2 Ni 2.73
10 Sn 0.3101 0.6899 0.5719  3 Ni 2.51-2.74, 1 Co 2.65
11 Sn 0.3101 0.6899 0.9281  3 Ni 2.51-2.74, 1 Co 2.65
12 Sn 0.6899 0.3101 0.0719  3 Ni 2.51-2.74, 1 Co 2.65
13 Sn 0.6899 0.3101 0.4281  3 Ni 2.51-2.74, 1 Co 2.65
14 Sn 0.7629 0.2371 0.7500  2 Co 2.52, 2 Ni 2.73
15 Sn 0.9465 0.0535 0.1230  2 Ni 2.46-2.60, 1 Co 2.47
16 Sn 0.9465 0.0535 0.3770  2 Ni 2.46-2.60, 1 Co 2.47

Calculated values
Calculated total energy in eV/atom: -4.786
Magnetic moment in μB per atom: 0.000
ΔH_f (0 K) in eV/atom: 0.050